1.
The following is a DFT calculation (PBE with a Hubbard U) of a relaxed HoWClO4 crystal.

Unit cell a=6.3374 b=6.3374 c=6.9592 alpha=75.43 beta=75.43 gamma=70.58
With the nearest neighbours (Å) after each atom.
Fractional positions:
Cl  0.9897  0.9897  0.7696  2 Ho 2.72-2.76
Cl  0.0103  0.0103  0.2304  2 Ho 2.72-2.76
Ho  0.7778  0.7778  0.1166  4 O 2.28-2.29
Ho  0.2222  0.2222  0.8834  4 O 2.28-2.29
O  0.1048  0.4910  0.1570  1 W 1.83
O  0.4535  0.4535  0.8083  1 W 1.81
O  0.2961  0.2961  0.5371  1 W 1.79
O  0.4910  0.1048  0.1570  1 W 1.83
O  0.7039  0.7039  0.4629  1 W 1.79
O  0.8952  0.5090  0.8430  1 W 1.83
O  0.5465  0.5465  0.1917  1 W 1.81
O  0.5090  0.8952  0.8430  1 W 1.83
W  0.6371  0.6371  0.7333  4 O 1.79-1.83
W  0.3629  0.3629  0.2667  4 O 1.79-1.83

Properties
Space-group type = No. 12
Crystal system = monoclinic
N(E_F) = 0.0 states/eV/f.u.
E = -101.33 eV per cell
Total magnetic moment = 0.00 μB/cell

2.
The following is a DFT calculation (PBE with a Hubbard U) of a relaxed Ho3WCl2O6 crystal.

Unit cell a=5.4462 b=6.5400 c=6.6270 alpha=119.57 beta=81.00 gamma=90.00
With the nearest neighbours (Å) after each atom.
Fractional positions:
O  0.7022  0.8192  0.1198  1 W 2.11, 1 Ho 2.27
O  0.2978  0.6994  0.8802  1 W 2.11, 1 Ho 2.27
O  0.7022  0.3006  0.1198  1 W 2.11, 1 Ho 2.27
O  0.2978  0.1808  0.8802  1 W 2.11, 1 Ho 2.27
O  0.3324  0.1685  0.3370  1 W 1.99, 2 Ho 2.17
O  0.6676  0.8315  0.6630  1 W 1.99, 2 Ho 2.17
Ho  0.0000  0.5000  0.0000  4 O 2.36, 2 Cl 2.64
Ho  0.5000  0.0000  0.5000  4 O 2.17-2.27
Ho  0.5000  0.5000  0.5000  4 O 2.17-2.27
W  0.5000  0.0000  0.0000  6 O 1.99-2.11
Cl  0.1498  0.7052  0.4103  3 Ho 2.63-2.64, 1 O 2.76
Cl  0.8502  0.2948  0.5897  3 Ho 2.63-2.64, 1 O 2.76

Properties
Space-group type = No. 12
Crystal system = monoclinic
N(E_F) = 0.0 states/eV/f.u.
E = -85.51 eV per cell
Total magnetic moment = 1.00 μB/cell